Compound: SrBiMoO6
Source: Alexandria
Functional: PBE+U
Structure: relaxed

Values from the calculation:
**DOS(E_F)**: 4.23 states/eV/f.u.
**Uncorrected energy**: -6.431 eV per atom

a b c (Å): 5.6203 5.6203 10.5324
angles (deg): 90.00 90.00 120.00
Space group P-31c (No. 163)
Asymmetric unit:
Sr 0.0000 0.0000 0.0000 x2
Bi 0.3333 0.6667 0.2500 x2
Mo 0.3333 0.6667 0.7500 x2
O 0.0363 0.3947 0.6426 x12